A relaxed LiTbTh2S5 crystal, computed with PBE-GGA.

Calculated values
The raw formation energy comes out at -1.8186 eV per atom. The total energy is -6.488 eV/atom. The magnetic moment comes out at 0.0 μB/f.u.

CIF file:
```
data_LiTbTh2S5
_cell_length_a 8.449
_cell_length_b 8.449
_cell_length_c 11.963
_cell_angle_alpha 90.00
_cell_angle_beta 90.00
_cell_angle_gamma 153.24
_symmetry_space_group_name_H-M 'P 1'
_symmetry_Int_Tables_number 1
_symmetry_space_group_name_Hall 'P 1'
loop_
_atom_site_label
_atom_site_fract_x
_atom_site_fract_y
_atom_site_fract_z
Li1 0.010 0.990 0.500
Li2 0.990 0.010 0.000
Tb1 0.305 0.695 0.018
Tb2 0.695 0.305 0.518
Th1 0.372 0.628 0.318
Th2 0.388 0.612 0.700
Th3 0.612 0.388 0.200
Th4 0.628 0.372 0.818
S1 0.000 0.000 0.305
S2 0.000 0.000 0.805
S3 0.139 0.861 0.018
S4 0.191 0.809 0.358
S5 0.209 0.791 0.679
S6 0.458 0.542 0.092
S7 0.542 0.458 0.592
S8 0.791 0.209 0.179
S9 0.809 0.191 0.858
S10 0.861 0.139 0.518
```

A relaxed Ba3PaSn2O9 crystal, computed with PBE-GGA.

Calculated values
The raw formation energy comes out at -2.5694 eV per atom. The total energy is -7.096 eV/atom. The magnetic moment comes out at 0.0 μB/f.u.

CIF file:
```
data_Ba3PaSn2O9
_cell_length_a 6.127
_cell_length_b 6.127
_cell_length_c 7.534
_cell_angle_alpha 90.00
_cell_angle_beta 90.00
_cell_angle_gamma 120.00
_symmetry_space_group_name_H-M 'P 1'
_symmetry_Int_Tables_number 1
_symmetry_space_group_name_Hall 'P 1'
loop_
_atom_site_label
_atom_site_fract_x
_atom_site_fract_y
_atom_site_fract_z
Ba1 0.000 0.000 0.000
Ba2 0.333 0.667 0.687
Ba3 0.667 0.333 0.313
Pa1 0.000 0.000 0.500
Sn1 0.333 0.667 0.162
Sn2 0.667 0.333 0.838
O1 0.000 0.500 0.000
O2 0.168 0.336 0.334
O3 0.168 0.832 0.334
O4 0.336 0.168 0.666
O5 0.500 0.000 0.000
O6 0.500 0.500 0.000
O7 0.664 0.832 0.334
O8 0.832 0.168 0.666
O9 0.832 0.664 0.666
```

A relaxed AlCr2Bi crystal, computed with PBE-GGA.

Calculated values
The total energy is -6.165 eV/atom. The magnetic moment comes out at 4.1 μB/f.u. Its formation energy is 0.552 eV per atom. The energy above the lowest structure with this stoichiometry is 0 meV/atom.

CIF file:
```
data_AlCr2Bi
_cell_length_a 4.545
_cell_length_b 4.545
_cell_length_c 4.545
_cell_angle_alpha 60.00
_cell_angle_beta 60.00
_cell_angle_gamma 60.00
_symmetry_space_group_name_H-M 'P 1'
_symmetry_Int_Tables_number 1
_symmetry_space_group_name_Hall 'P 1'
loop_
_atom_site_label
_atom_site_fract_x
_atom_site_fract_y
_atom_site_fract_z
Al1 0.000 0.000 0.000
Cr1 0.250 0.250 0.250
Cr2 0.750 0.750 0.750
Bi1 0.500 0.500 0.500
```

A relaxed NbInN crystal, computed with PBE-GGA.

Calculated values
The raw formation energy comes out at -0.3247 eV per atom. The total energy is -7.369 eV/atom. The magnetic moment comes out at 0.0 μB/f.u. The energy above the lowest structure with this stoichiometry is 189 meV/atom.

CIF file:
```
data_NbInN
_cell_length_a 3.000
_cell_length_b 3.000
_cell_length_c 6.065
_cell_angle_alpha 90.00
_cell_angle_beta 90.00
_cell_angle_gamma 90.00
_symmetry_space_group_name_H-M 'P 1'
_symmetry_Int_Tables_number 1
_symmetry_space_group_name_Hall 'P 1'
loop_
_atom_site_label
_atom_site_fract_x
_atom_site_fract_y
_atom_site_fract_z
Nb1 0.000 0.000 0.000
In1 0.000 0.000 0.500
N1 0.500 0.500 0.000
```

A relaxed MnNb4S8 crystal, computed with PBE-GGA.

Calculated values
The raw formation energy comes out at -1.0799 eV per atom. The total energy is -7.424 eV/atom. The magnetic moment comes out at 4.0 μB/f.u. The energy above the lowest structure with this stoichiometry is 0 meV/atom.

CIF file:
```
data_MnNb4S8
_cell_length_a 6.722
_cell_length_b 6.722
_cell_length_c 12.352
_cell_angle_alpha 90.00
_cell_angle_beta 90.00
_cell_angle_gamma 120.00
_symmetry_space_group_name_H-M 'P 1'
_symmetry_Int_Tables_number 1
_symmetry_space_group_name_Hall 'P 1'
loop_
_atom_site_label
_atom_site_fract_x
_atom_site_fract_y
_atom_site_fract_z
Mn1 0.000 0.000 0.000
Mn2 0.000 0.000 0.500
Nb1 0.000 0.000 0.250
Nb2 0.000 0.000 0.750
Nb3 0.012 0.506 0.250
Nb4 0.494 0.506 0.250
Nb5 0.494 0.988 0.250
Nb6 0.506 0.012 0.750
Nb7 0.506 0.494 0.750
Nb8 0.988 0.494 0.750
S1 0.168 0.336 0.624
S2 0.168 0.336 0.876
S3 0.168 0.832 0.624
S4 0.168 0.832 0.876
S5 0.333 0.667 0.120
S6 0.333 0.667 0.380
S7 0.336 0.168 0.124
S8 0.336 0.168 0.376
S9 0.664 0.832 0.624
S10 0.664 0.832 0.876
S11 0.667 0.333 0.620
S12 0.667 0.333 0.880
S13 0.832 0.168 0.124
S14 0.832 0.168 0.376
S15 0.832 0.664 0.124
S16 0.832 0.664 0.376
```

A relaxed Co2SiAu crystal, computed with PBE-GGA.

Calculated values
The raw formation energy comes out at 0.3341 eV per atom. The total energy is -5.394 eV/atom. The magnetic moment comes out at 2.9 μB/f.u.

CIF file:
```
data_Co2SiAu
_cell_length_a 8.970
_cell_length_b 8.970
_cell_length_c 8.970
_cell_angle_alpha 156.11
_cell_angle_beta 156.11
_cell_angle_gamma 34.04
_symmetry_space_group_name_H-M 'P 1'
_symmetry_Int_Tables_number 1
_symmetry_space_group_name_Hall 'P 1'
loop_
_atom_site_label
_atom_site_fract_x
_atom_site_fract_y
_atom_site_fract_z
Co1 0.048 0.625 0.923
Co2 0.375 0.298 0.423
Co3 0.702 0.125 0.077
Co4 0.875 0.952 0.577
Si1 0.000 0.000 0.000
Si2 0.750 0.250 0.500
Au1 0.250 0.750 0.500
Au2 0.500 0.500 0.000
```

> magnetic moment of number 5 (MnNb4S8)?

4.0 μB/f.u.